First-principles (PBE) data for an optimized crystal structure of La2ThS3, as listed in the Alexandria database.

The raw formation energy comes out at -198 kJ/mol of atoms. For the density of states at the Fermi level, the calculation gives 50.92 states/eV per cell. The total magnetization comes out at 0.0 μB/f.u.

The space group is Fddd (No. 70, origin choice 2) and the conventional cell measures 8.232, 11.632 and 24.674 Å, with angles of 90.00, 90.00 and 90.00 degrees. The inequivalent atoms are La at (0.125, 0.125, 0.043), La at (0.125, 0.125, 0.374), Th at (0.125, 0.125, 0.542), S at (0.119, 0.375, 0.875) and S at (0.122, 0.373, 0.709).

First-principles (PBE) data for an optimized crystal structure of K2AgGe2, as listed in the Alexandria database.

The value obtained for the excess energy over the best structure of this formula in the dataset is 199 meV per atom. As for the energy of formation: 0.229 eV/atom. For the density of states at the Fermi level, the calculation gives 5.04 states/eV per cell. The total magnetization comes out at 0.0 μB/f.u.

The space group is P4/mbm (No. 127) and the conventional cell measures 10.005, 10.005 and 3.102 Å, with angles of 90.00, 90.00 and 90.00 degrees. The inequivalent atoms are K at (0.209, 0.291, 0.000), Ag at (0.000, 0.000, 0.000) and Ge at (0.084, 0.584, 0.500).

Q: Look up the total magnetization of the first one.
A: 0.0 μB/f.u.